(1)
## CeGdTl (PBE-GGA)

Data for an optimized crystal structure of CeGdTl.

```
data_CeGdTl
_cell_length_a 5.3771
_cell_length_b 5.3771
_cell_length_c 3.3240
_cell_angle_alpha 90.00
_cell_angle_beta 90.00
_cell_angle_gamma 120.00
_space_group_name_H-M_alt 'P -6 m 2'
_space_group_IT_number 187
_space_group_name_Hall 'P -6 2'
loop_
_atom_site_label
_atom_site_fract_x
_atom_site_fract_y
_atom_site_fract_z
Ce1 0.0000 0.0000 0.0000
Gd1 0.3333 0.6667 0.0000
Tl1 0.6667 0.3333 0.5000
```

Computed properties:
As for the polymorph energy (0 for the lowest one): 92 meV per atom. The final energy is -7.47 eV/atom. Its calculated density is 10.010 Mg/m³.


(2)
## BaBi3Cl (PBE-GGA)

Data for an optimized crystal structure of BaBi3Cl.

```
data_BaBi3Cl
_cell_length_a 5.6732
_cell_length_b 5.6732
_cell_length_c 5.6732
_cell_angle_alpha 90.00
_cell_angle_beta 90.00
_cell_angle_gamma 90.00
_space_group_name_H-M_alt 'P m -3 m'
_space_group_IT_number 221
_space_group_name_Hall '-P 4 2 3'
loop_
_atom_site_label
_atom_site_fract_x
_atom_site_fract_y
_atom_site_fract_z
Ba1 0.0000 0.0000 0.0000
Bi1 0.0000 0.5000 0.5000
Cl1 0.5000 0.5000 0.5000
```

Computed properties:
As for the polymorph energy (0 for the lowest one): 0 meV per atom. The final energy is -3.22 eV/atom. Its calculated density is 7.273 Mg/m³. As for the uncorrected formation energy: -0.137 eV/atom.


(3)
## AsAuBr2 (PBE-GGA)

Data for an optimized crystal structure of AsAuBr2.

```
data_AsAuBr2
_cell_length_a 3.5118
_cell_length_b 4.2877
_cell_length_c 7.1893
_cell_angle_alpha 90.00
_cell_angle_beta 90.00
_cell_angle_gamma 90.00
_space_group_name_H-M_alt 'P m m m'
_space_group_IT_number 47
loop_
_space_group_symop_operation_xyz
'x,y,z'
'-x,-y,-z'
'-x,-y,z'
'x,y,-z'
'x,-y,-z'
'-x,y,z'
'-x,y,-z'
'x,-y,z'
loop_
_atom_site_label
_atom_site_fract_x
_atom_site_fract_y
_atom_site_fract_z
As1 0.0000 0.0000 0.0000
Au1 0.5000 0.0000 0.5000
Br1 0.0000 0.5000 0.5000
Br2 0.5000 0.5000 0.0000
```

Computed properties:
As for the polymorph energy (0 for the lowest one): 617 meV per atom. The final energy is -2.42 eV/atom. Its calculated density is 6.622 Mg/m³. As for the uncorrected formation energy: 0.397 eV/atom.


(4)
## PaTaFe2H6 (PBE-GGA)

Data for an optimized crystal structure of PaTaFe2H6.

```
data_PaTaFe2H6
_cell_length_a 4.3467
_cell_length_b 4.3467
_cell_length_c 15.2777
_cell_angle_alpha 90.00
_cell_angle_beta 90.00
_cell_angle_gamma 120.00
_space_group_name_H-M_alt 'R -3 m'
_space_group_IT_number 166
_space_group_name_Hall '-R 3 2"'
loop_
_atom_site_label
_atom_site_fract_x
_atom_site_fract_y
_atom_site_fract_z
Pa1 0.0000 0.0000 0.0000
Ta1 0.0000 0.0000 0.5000
Fe1 0.0000 0.0000 0.2070
H1 0.0127 0.5063 0.0630
```

Computed properties:
The final energy is -6.10 eV/atom. Its calculated density is 10.556 Mg/m³.


(5)
## TlRe2Rh (PBE-GGA)

Data for an optimized crystal structure of TlRe2Rh.

```
data_TlRe2Rh
_cell_length_a 2.8096
_cell_length_b 4.1013
_cell_length_c 5.9457
_cell_angle_alpha 90.00
_cell_angle_beta 90.00
_cell_angle_gamma 90.00
_space_group_name_H-M_alt 'P m m m'
_space_group_IT_number 47
loop_
_space_group_symop_operation_xyz
'x,y,z'
'-x,-y,-z'
'-x,-y,z'
'x,y,-z'
'x,-y,-z'
'-x,y,z'
'-x,y,-z'
'x,-y,z'
loop_
_atom_site_label
_atom_site_fract_x
_atom_site_fract_y
_atom_site_fract_z
Tl1 0.0000 0.0000 0.0000
Re1 0.5000 0.5000 0.2987
Rh1 0.0000 0.0000 0.5000
```

Computed properties:
As for the polymorph energy (0 for the lowest one): 325 meV per atom. The final energy is -8.00 eV/atom. Its calculated density is 16.474 Mg/m³.


(6)
## SiP2Se (PBE-GGA)

Data for an optimized crystal structure of SiP2Se.

```
data_SiP2Se
_cell_length_a 4.2771
_cell_length_b 3.5940
_cell_length_c 4.8459
_cell_angle_alpha 90.00
_cell_angle_beta 110.50
_cell_angle_gamma 90.00
_space_group_name_H-M_alt 'P 1 2/m 1'
_space_group_IT_number 10
loop_
_space_group_symop_operation_xyz
'x,y,z'
'-x,-y,-z'
'-x,y,-z'
'x,-y,z'
loop_
_atom_site_label
_atom_site_fract_x
_atom_site_fract_y
_atom_site_fract_z
Si1 0.0000 0.0000 0.0000
P1 0.2585 0.5000 0.8117
Se1 0.5000 0.0000 0.5000
```

Computed properties:
As for the polymorph energy (0 for the lowest one): 177 meV per atom. The final energy is -4.81 eV/atom. Its calculated density is 4.022 Mg/m³. As for the uncorrected formation energy: 0.124 eV/atom.


(7)
## Ac2In9Rh3 (PBE-GGA)

Data for an optimized crystal structure of Ac2In9Rh3.

```
data_Ac2In9Rh3
_cell_length_a 14.6107
_cell_length_b 8.3698
_cell_length_c 11.6896
_cell_angle_alpha 90.00
_cell_angle_beta 114.97
_cell_angle_gamma 90.00
_space_group_name_H-M_alt 'C 1 2/c 1'
_space_group_IT_number 15
loop_
_space_group_symop_operation_xyz
'x,y,z'
'-x,-y,-z'
'-x,y,-z+1/2'
'x,-y,z+1/2'
'x+1/2,y+1/2,z'
'-x+1/2,-y+1/2,-z'
'-x+1/2,y+1/2,-z+1/2'
'x+1/2,-y+1/2,z+1/2'
loop_
_atom_site_label
_atom_site_fract_x
_atom_site_fract_y
_atom_site_fract_z
Ac1 0.1695 0.0823 0.2502
In1 0.0000 0.3629 0.2500
In2 0.0595 0.0798 0.9265
In3 0.1017 0.4138 0.0536
In4 0.1061 0.3126 0.7481
In5 0.2252 0.4157 0.4273
Rh1 0.0847 0.2460 0.5018
Rh2 0.2500 0.2500 0.0000
```

Computed properties:
The final energy is -4.37 eV/atom. Its calculated density is 9.206 Mg/m³.


(8)
## CdPb2Au (PBE-GGA)

Data for an optimized crystal structure of CdPb2Au.

```
data_CdPb2Au
_cell_length_a 7.4501
_cell_length_b 7.4501
_cell_length_c 7.4501
_cell_angle_alpha 90.00
_cell_angle_beta 90.00
_cell_angle_gamma 90.00
_space_group_name_H-M_alt 'F -4 3 m'
_space_group_IT_number 216
_space_group_name_Hall 'F -4 2 3'
loop_
_atom_site_label
_atom_site_fract_x
_atom_site_fract_y
_atom_site_fract_z
Cd1 0.0000 0.0000 0.0000
Pb1 0.0000 0.0000 0.5000
Pb2 0.2500 0.2500 0.2500
Au1 0.2500 0.2500 0.7500
```

Computed properties:
The final energy is -2.80 eV/atom. Its calculated density is 11.626 Mg/m³.


(9)
## Ge2PdPt7Pb2 (PBE-GGA)

Data for an optimized crystal structure of Ge2PdPt7Pb2.

```
data_Ge2PdPt7Pb2
_cell_length_a 5.5380
_cell_length_b 5.5364
_cell_length_c 15.9106
_cell_angle_alpha 90.00
_cell_angle_beta 99.96
_cell_angle_gamma 90.00
_space_group_name_H-M_alt 'C 1 2/m 1'
_space_group_IT_number 12
loop_
_space_group_symop_operation_xyz
'x,y,z'
'-x,-y,-z'
'-x,y,-z'
'x,-y,z'
'x+1/2,y+1/2,z'
'-x+1/2,-y+1/2,-z'
'-x+1/2,y+1/2,-z'
'x+1/2,-y+1/2,z'
loop_
_atom_site_label
_atom_site_fract_x
_atom_site_fract_y
_atom_site_fract_z
Ge1 0.1157 0.0000 0.2334
Pd1 0.0000 0.5000 0.0000
Pt1 0.0000 0.0000 0.0000
Pt2 0.1837 0.2501 0.8671
Pt3 0.1939 0.0000 0.3882
Pb1 0.2112 0.5000 0.4222
```

Computed properties:
The final energy is -5.58 eV/atom. Its calculated density is 14.043 Mg/m³.


(10)
## Ba3Ca2Au3 (PBE-GGA)

Data for an optimized crystal structure of Ba3Ca2Au3.

```
data_Ba3Ca2Au3
_cell_length_a 4.6689
_cell_length_b 14.6515
_cell_length_c 16.7156
_cell_angle_alpha 90.00
_cell_angle_beta 90.00
_cell_angle_gamma 90.00
_space_group_name_H-M_alt 'C m c m'
_space_group_IT_number 63
_space_group_name_Hall '-C 2c 2'
loop_
_atom_site_label
_atom_site_fract_x
_atom_site_fract_y
_atom_site_fract_z
Ba1 0.0000 0.0528 0.1173
Ba2 0.0000 0.3378 0.2500
Ca1 0.0000 0.2306 0.5790
Au1 0.0000 0.3316 0.7500
Au2 0.0000 0.3949 0.0392
```

Computed properties:
The final energy is -3.05 eV/atom. Its calculated density is 6.291 Mg/m³.


(11)
## AcInH8Ir2 (PBE-GGA)

Data for an optimized crystal structure of AcInH8Ir2.

```
data_AcInH8Ir2
_cell_length_a 4.9124
_cell_length_b 4.9124
_cell_length_c 18.7520
_cell_angle_alpha 90.00
_cell_angle_beta 90.00
_cell_angle_gamma 120.00
_space_group_name_H-M_alt 'R -3'
_space_group_IT_number 148
_space_group_name_Hall '-R 3'
loop_
_atom_site_label
_atom_site_fract_x
_atom_site_fract_y
_atom_site_fract_z
Ac1 0.0000 0.0000 0.0000
In1 0.0000 0.0000 0.5000
H1 0.0000 0.0000 0.3119
H2 0.0524 0.5216 0.5526
Ir1 0.0000 0.0000 0.2252
```

Computed properties:
The final energy is -4.35 eV/atom. Its calculated density is 9.334 Mg/m³.


(12)
## Y2Bi2Ir (PBE-GGA)

Data for an optimized crystal structure of Y2Bi2Ir.

```
data_Y2Bi2Ir
_cell_length_a 7.3582
_cell_length_b 7.3582
_cell_length_c 4.7730
_cell_angle_alpha 90.00
_cell_angle_beta 90.00
_cell_angle_gamma 90.00
_space_group_name_H-M_alt 'P 4/m b m'
_space_group_IT_number 127
_space_group_name_Hall '-P 4 2ab'
loop_
_atom_site_label
_atom_site_fract_x
_atom_site_fract_y
_atom_site_fract_z
Y1 0.1673 0.3327 0.0000
Bi1 0.1503 0.6503 0.5000
Ir1 0.0000 0.0000 0.5000
```

Computed properties:
As for the polymorph energy (0 for the lowest one): 0 meV per atom. The final energy is -6.25 eV/atom. Its calculated density is 10.127 Mg/m³.